(1)
DFT (PBE) results for a relaxed structure of GaSn2HgN.

Properties
The calculated total energy is -14.26 eV/cell. The calculation puts the energy relative to the elements, uncorrected at 1.081 eV/atom.

Structure (CIF):
```
data_GaSn2HgN
_chemical_formula_sum 'Ga1 Sn2 Hg1 N1'
_space_group_name_H-M_alt 'P 4/m m m'
_space_group_IT_number 123
_space_group_name_Hall '-P 4 2'
_cell_length_a 5.8456
_cell_length_b 5.8456
_cell_length_c 3.9331
_cell_angle_alpha 90.00
_cell_angle_beta 90.00
_cell_angle_gamma 90.00
loop_
_atom_site_label
_atom_site_fract_x
_atom_site_fract_y
_atom_site_fract_z
Ga1 0.0000 0.0000 0.0000
Sn1 0.0000 0.5000 0.5000
Hg1 0.5000 0.5000 0.5000
N1 0.5000 0.5000 0.0000
```


(2)
DFT (PBE) results for a relaxed structure of H4Br.

Properties
The calculated total energy is -9.30 eV/cell.

Structure (CIF):
```
data_H4Br
_chemical_formula_sum 'H4 Br1'
_space_group_name_H-M_alt 'P m -3 m'
_space_group_IT_number 221
_space_group_name_Hall '-P 4 2 3'
_cell_length_a 3.5610
_cell_length_b 3.5610
_cell_length_c 3.5610
_cell_angle_alpha 90.00
_cell_angle_beta 90.00
_cell_angle_gamma 90.00
loop_
_atom_site_label
_atom_site_fract_x
_atom_site_fract_y
_atom_site_fract_z
H1 0.0000 0.0000 0.0000
H2 0.0000 0.5000 0.5000
Br1 0.5000 0.5000 0.5000
```